VASP calculation (PBE) on a relaxed Tc3Pd crystal.

Output
For the formation energy, the calculation gives 18 meV/atom. For the polymorph energy (0 for the lowest one), the calculation gives 1.96 kcal/mol of atoms.

a b c (Å): 2.7514 2.7514 8.9541
angles (deg): 90.00 90.00 120.00
Sites, in units of the cell vectors:
Tc1 0.3333 0.6667 0.0000
Tc2 0.6667 0.3333 0.7559
Tc3 0.6667 0.3333 0.2441
Pd1 0.3333 0.6667 0.5000